Computed, not measured: a geometry-optimized MnNb2Re structure at the PBE-GGA level of DFT.

Properties
The density comes out at 10.4 Mg/m³. The formation energy is 0.609 eV/atom. The space-group type is I-42d. For the total magnetization, the calculation gives 3.8 μB per cell. For the final energy, the calculation gives -9.830 eV per atom.

Cell lengths 7.075, 7.075, 5.692 Å; angles 51.58, 51.58, 90.00 degrees
Fractional positions:
Nb 0.130 0.625 0.250
Nb 0.375 0.380 0.750
Nb 0.875 0.870 0.750
Nb 0.620 0.125 0.250
Mn 0.500 0.500 0.000
Mn 0.250 0.750 0.500
Re 0.000 0.000 0.000
Re 0.750 0.250 0.500

Computed, not measured: a geometry-optimized BaZn2Au2 structure at the PBE-GGA level of DFT.

Properties
The density comes out at 10.0 Mg/m³. The value obtained for the offset from the most stable computed form is 0.2780 eV/atom. The formation energy is -0.220 eV/atom. The space-group type is P4/mbm. For the total magnetization, the calculation gives 0.0 μB per cell. For the final energy, the calculation gives -2.425 eV per atom.

Cell lengths 8.070, 8.070, 3.382 Å; angles 90.00, 90.00, 90.00 degrees
Fractional positions:
Zn 0.888 0.612 0.000
Zn 0.388 0.888 0.000
Zn 0.612 0.112 0.000
Zn 0.112 0.388 0.000
Au 0.178 0.678 0.500
Au 0.322 0.178 0.500
Au 0.678 0.822 0.500
Au 0.822 0.322 0.500
Ba 0.500 0.500 0.000
Ba 0.000 0.000 0.000

Computed, not measured: a geometry-optimized LaY6Ho2Sc3 structure at the PBE-GGA level of DFT.

Properties
The density comes out at 5.2 Mg/m³. The formation energy is 0.056 eV/atom. The space-group type is C2/m. For the total magnetization, the calculation gives 0.0 μB per cell. For the final energy, the calculation gives -5.933 eV per atom.

Cell lengths 6.090, 6.090, 11.555 Å; angles 95.04, 95.04, 120.01 degrees
Fractional positions:
Y 0.247 0.247 0.739
Y 0.913 0.579 0.739
Y 0.087 0.421 0.261
Y 0.579 0.913 0.739
Y 0.753 0.753 0.261
Y 0.421 0.087 0.261
Sc 0.833 0.167 0.500
Sc 0.167 0.833 0.500
Sc 0.500 0.500 0.500
La 0.000 0.000 0.000
Ho 0.333 0.667 0.000
Ho 0.667 0.333 0.000

Computed, not measured: a geometry-optimized Cd12Ga2Ag5 structure at the PBE-GGA level of DFT.

Properties
The density comes out at 8.4 Mg/m³. The value obtained for the offset from the most stable computed form is 0.0000 eV/atom. The formation energy is 0.023 eV/atom. The space-group type is C2/m. For the total magnetization, the calculation gives 0.0 μB per cell. For the final energy, the calculation gives -1.624 eV per atom.

Cell lengths 5.197, 9.433, 9.433 Å; angles 63.77, 76.40, 76.40 degrees
Fractional positions:
Ag 0.596 0.803 0.803
Ag 0.166 0.703 0.703
Ag 0.404 0.197 0.197
Ag 0.834 0.297 0.297
Ag 0.500 0.000 0.000
Cd 0.773 0.589 0.589
Cd 0.608 0.164 0.643
Cd 0.794 0.947 0.456
Cd 0.206 0.053 0.544
Cd 0.206 0.544 0.053
Cd 0.227 0.411 0.411
Cd 0.392 0.357 0.836
Cd 0.608 0.643 0.164
Cd 0.794 0.456 0.947
Cd 0.047 0.901 0.901
Cd 0.392 0.836 0.357
Cd 0.953 0.099 0.099
Ga 0.000 0.256 0.744
Ga 0.000 0.744 0.256

Computed, not measured: a geometry-optimized Nb2Ga2P structure at the PBE-GGA level of DFT.

Properties
The density comes out at 6.8 Mg/m³. The formation energy is -0.355 eV/atom. The space-group type is P4/mbm. For the total magnetization, the calculation gives 0.0 μB per cell. For the final energy, the calculation gives -6.676 eV per atom.

Cell lengths 6.573, 6.573, 4.043 Å; angles 90.00, 90.00, 90.00 degrees
Fractional positions:
Nb 0.169 0.331 0.000
Nb 0.669 0.169 0.000
Nb 0.831 0.669 0.000
Nb 0.331 0.831 0.000
P 0.000 0.000 0.000
P 0.500 0.500 0.000
Ga 0.639 0.861 0.500
Ga 0.139 0.639 0.500
Ga 0.361 0.139 0.500
Ga 0.861 0.361 0.500

Computed, not measured: a geometry-optimized Sr3FeRh structure at the PBE-GGA level of DFT.

Properties
The density comes out at 3.7 Mg/m³. The value obtained for the offset from the most stable computed form is 0.0000 eV/atom. The formation energy is 0.420 eV/atom. The space-group type is Pm-3m. For the total magnetization, the calculation gives 3.3 μB per cell. For the final energy, the calculation gives -3.752 eV per atom.

Cell lengths 5.726, 5.726, 5.726 Å; angles 90.00, 90.00, 90.00 degrees
Fractional positions:
Fe 0.500 0.500 0.500
Sr 0.000 0.500 0.000
Sr 0.000 0.000 0.500
Sr 0.500 0.000 0.000
Rh 0.000 0.000 0.000

Computed, not measured: a geometry-optimized LiSi2Te6Pb structure at the PBE-GGA level of DFT.

Properties
The density comes out at 5.1 Mg/m³. The space-group type is C2/c. The calculation puts the uncorrected formation energy at -170 meV per atom. For the total magnetization, the calculation gives 0.0 μB per cell. For the final energy, the calculation gives -3.702 eV per atom.

Cell lengths 7.418, 9.798, 9.798 Å; angles 84.76, 77.18, 77.18 degrees
Fractional positions:
Pb 0.750 0.141 0.859
Pb 0.250 0.859 0.141
Li 0.750 0.752 0.248
Li 0.250 0.248 0.752
Te 0.176 0.960 0.822
Te 0.085 0.596 0.094
Te 0.415 0.906 0.404
Te 0.989 0.305 0.437
Te 0.915 0.404 0.906
Te 0.489 0.437 0.305
Te 0.011 0.695 0.563
Te 0.676 0.822 0.960
Te 0.324 0.178 0.040
Te 0.824 0.040 0.178
Te 0.585 0.094 0.596
Te 0.511 0.563 0.695
Si 0.277 0.784 0.631
Si 0.223 0.369 0.216
Si 0.723 0.216 0.369
Si 0.777 0.631 0.784

Computed, not measured: a geometry-optimized PuMg5Pd4 structure at the PBE-GGA level of DFT.

Properties
The density comes out at 7.4 Mg/m³. The formation energy is -0.565 eV/atom. The space-group type is P4/mmm. For the total magnetization, the calculation gives 6.1 μB per cell. For the final energy, the calculation gives -4.872 eV per atom.

Cell lengths 3.071, 3.071, 18.945 Å; angles 90.00, 90.00, 90.00 degrees
Fractional positions:
Pd 0.000 0.000 0.410
Pd 0.000 0.000 0.590
Pd 0.000 0.000 0.229
Pd 0.000 0.000 0.771
Mg 0.500 0.500 0.860
Mg 0.500 0.500 0.500
Mg 0.500 0.500 0.319
Mg 0.500 0.500 0.140
Mg 0.500 0.500 0.681
Pu 0.000 0.000 0.000

Computed, not measured: a geometry-optimized Ba6SnH5 structure at the PBE-GGA level of DFT.

Properties
The density comes out at 4.5 Mg/m³. The space-group type is C2/m. For the total magnetization, the calculation gives 3.0 μB per cell. For the final energy, the calculation gives -2.998 eV per atom.

Cell lengths 7.534, 7.643, 7.469 Å; angles 59.23, 79.71, 69.57 degrees
Fractional positions:
H 0.000 0.665 0.669
H 0.500 0.500 0.000
H 0.000 0.335 0.331
H 0.500 0.153 0.694
H 0.500 0.847 0.306
Ba 0.714 0.738 0.000
Ba 0.744 0.475 0.624
Ba 0.256 0.901 0.624
Ba 0.744 0.099 0.376
Ba 0.256 0.525 0.376
Ba 0.286 0.262 0.000
Sn 0.000 0.000 0.000

Computed, not measured: a geometry-optimized La2Sm2Ho3 structure at the PBE-GGA level of DFT.

Properties
The density comes out at 7.5 Mg/m³. The value obtained for the offset from the most stable computed form is 0.1022 eV/atom. The formation energy is 0.133 eV/atom. The space-group type is C2/m. For the total magnetization, the calculation gives 0.0 μB per cell. For the final energy, the calculation gives -4.585 eV per atom.

Cell lengths 3.510, 8.835, 8.739 Å; angles 116.21, 101.58, 90.00 degrees
Fractional positions:
Ho 0.219 0.644 0.439
Ho 0.000 0.500 0.000
Ho 0.781 0.356 0.561
Sm 0.359 0.095 0.718
Sm 0.641 0.905 0.282
La 0.919 0.794 0.838
La 0.081 0.206 0.162

Computed, not measured: a geometry-optimized ScAuIO2 structure at the PBE-GGA level of DFT.

Properties
The density comes out at 6.2 Mg/m³. The value obtained for the offset from the most stable computed form is 0.0000 eV/atom. The space-group type is P4/mmm. The calculation puts the uncorrected formation energy at -1127 meV per atom. For the total magnetization, the calculation gives 0.0 μB per cell. For the final energy, the calculation gives -5.342 eV per atom.

Cell lengths 4.025, 4.025, 6.639 Å; angles 90.00, 90.00, 90.00 degrees
Fractional positions:
I 0.000 0.000 0.500
O 0.000 0.500 0.000
O 0.500 0.000 0.000
Sc 0.000 0.000 0.000
Au 0.500 0.500 0.500

Computed, not measured: a geometry-optimized TlGa3Pb3 structure at the PBE-GGA level of DFT.

Properties
The density comes out at 7.0 Mg/m³. The formation energy is 0.292 eV/atom. The space-group type is Pm-3n. For the total magnetization, the calculation gives 0.0 μB per cell. For the final energy, the calculation gives -2.932 eV per atom.

Cell lengths 7.892, 7.892, 7.892 Å; angles 90.00, 90.00, 90.00 degrees
Fractional positions:
Pb 0.500 0.000 0.750
Pb 0.750 0.500 0.000
Pb 0.500 0.000 0.250
Pb 0.000 0.250 0.500
Pb 0.250 0.500 0.000
Pb 0.000 0.750 0.500
Ga 0.500 0.750 0.000
Ga 0.000 0.500 0.750
Ga 0.250 0.000 0.500
Ga 0.750 0.000 0.500
Ga 0.000 0.500 0.250
Ga 0.500 0.250 0.000
Tl 0.000 0.000 0.000
Tl 0.500 0.500 0.500

Among the records above, which one has the lowest final energy?
MnNb2Re

final energy of number 11 (ScAuIO2)?
-5.342 eV per atom